No. 1
An optimized crystal structure of Ce2BiF2. Source: Alexandria via LeMat-Bulk, functional PBE.

The density of states at the Fermi level comes out at 57.45 states/eV/cell. The value obtained for the total energy is -0.461 Ry per atom. Its crystal system is orthorhombic. For the size of the total moment, the calculation gives 2.97 μB/f.u.

a = 5.809 Å, b = 5.827 Å, c = 13.138 Å
α = 90.00°, β = 90.00°, γ = 90.00°
Space group Fmmm (No. 69)
Unique sites:
Ce: 0.000 0.000 0.133
Bi: 0.000 0.000 0.500
F: 0.250 0.250 0.250

***

No. 2
An optimized crystal structure of Sr3CaAg. Source: Alexandria via LeMat-Bulk, functional PBE.

The density of states at the Fermi level comes out at 18.50 states/eV/cell. The value obtained for the total energy is -0.155 Ry per atom. Its crystal system is monoclinic. For the size of the total moment, the calculation gives 0.00 μB/f.u.

a = 13.928 Å, b = 4.450 Å, c = 15.041 Å
α = 90.00°, β = 113.87°, γ = 90.00°
Space group Cm (No. 8)
Unique sites:
Sr: 0.000 0.000 0.000
Sr: 0.016 0.000 0.390
Sr: 0.173 0.500 0.247
Sr: 0.297 0.500 0.534
Sr: 0.320 0.000 0.767
Sr: 0.343 0.000 0.136
Ca: 0.047 0.500 0.627
Ca: 0.166 0.500 0.898
Ag: 0.008 0.000 0.764
Ag: 0.343 0.000 0.393

***

No. 3
An optimized crystal structure of Cs2MnTl2Br6. Source: Alexandria via LeMat-Bulk, functional PBE.

The density of states at the Fermi level comes out at 0.00 states/eV/cell. The value obtained for the total energy is -0.256 Ry per atom. Its crystal system is monoclinic. For the size of the total moment, the calculation gives 5.00 μB/f.u.

a = 8.956 Å, b = 14.204 Å, c = 7.755 Å
α = 90.00°, β = 109.00°, γ = 90.00°
Space group C2/m (No. 12)
Unique sites:
Cs: 0.000 0.157 0.000
Mn: 0.000 0.500 0.000
Tl: 0.000 0.334 0.500
Br: 0.176 0.500 0.765
Br: 0.194 0.366 0.212

***

No. 4
An optimized crystal structure of PaMnReP2. Source: Alexandria via LeMat-Bulk, functional PBE.

The density of states at the Fermi level comes out at 9.98 states/eV/cell. The value obtained for the total energy is -0.669 Ry per atom. Its crystal system is tetragonal. For the size of the total moment, the calculation gives 0.00 μB/f.u.

a = 4.065 Å, b = 4.065 Å, c = 9.405 Å
α = 90.00°, β = 90.00°, γ = 90.00°
Space group I-4m2 (No. 119)
Unique sites:
Pa: 0.000 0.000 0.000
Mn: 0.000 0.500 0.750
Re: 0.000 0.500 0.250
P: 0.000 0.000 0.370

***

No. 5
An optimized crystal structure of LaEr6Se8. Source: Alexandria via LeMat-Bulk, functional PBE.

The density of states at the Fermi level comes out at 25.36 states/eV/cell. The value obtained for the total energy is -0.427 Ry per atom. Its crystal system is cubic. For the size of the total moment, the calculation gives 0.00 μB/f.u.

a = 11.439 Å, b = 11.439 Å, c = 11.439 Å
α = 90.00°, β = 90.00°, γ = 90.00°
Space group Fm-3m (No. 225)
Unique sites:
La: 0.000 0.000 0.000
Er: 0.000 0.250 0.250
Se: 0.000 0.000 0.264
Se: 0.250 0.250 0.250

***

No. 6
An optimized crystal structure of InSnPRu2. Source: Alexandria via LeMat-Bulk, functional PBE.

The density of states at the Fermi level comes out at 7.11 states/eV/cell. The value obtained for the total energy is -0.346 Ry per atom. Its crystal system is tetragonal. For the size of the total moment, the calculation gives 2.18 μB/f.u.

a = 4.963 Å, b = 4.963 Å, c = 4.840 Å
α = 90.00°, β = 90.00°, γ = 90.00°
Space group P4/mmm (No. 123)
Unique sites:
In: 0.000 0.000 0.000
Sn: 0.500 0.500 0.500
P: 0.500 0.500 0.000
Ru: 0.000 0.500 0.500

***

No. 7
An optimized crystal structure of TiBWN2. Source: Alexandria via LeMat-Bulk, functional PBE.

The density of states at the Fermi level comes out at 3.20 states/eV/cell. The value obtained for the total energy is -0.563 Ry per atom. Its crystal system is tetragonal. For the size of the total moment, the calculation gives 0.00 μB/f.u.

a = 3.759 Å, b = 3.759 Å, c = 4.145 Å
α = 90.00°, β = 90.00°, γ = 90.00°
Space group P4/mmm (No. 123)
Unique sites:
Ti: 0.000 0.000 0.000
B: 0.000 0.000 0.500
W: 0.500 0.500 0.500
N: 0.000 0.500 0.000

***

No. 8
An optimized crystal structure of AlHIr. Source: Alexandria via LeMat-Bulk, functional PBE.

The density of states at the Fermi level comes out at 2.72 states/eV/cell. The value obtained for the total energy is -0.409 Ry per atom. Its crystal system is triclinic. For the size of the total moment, the calculation gives 0.00 μB/f.u.

a = 4.532 Å, b = 5.813 Å, c = 6.061 Å
α = 95.40°, β = 105.62°, γ = 103.55°
Space group P-1 (No. 2)
Unique sites:
Al: 0.164 0.428 0.186
Al: 0.177 0.926 0.667
H: 0.140 0.671 0.414
H: 0.287 0.977 0.034
Ir: 0.457 0.731 0.994
Ir: 0.460 0.247 0.496

***

No. 9
An optimized crystal structure of NaTa3O8. Source: Alexandria via LeMat-Bulk, functional PBE.

The density of states at the Fermi level comes out at 0.00 states/eV/cell. The value obtained for the total energy is -0.671 Ry per atom. Its crystal system is orthorhombic. For the size of the total moment, the calculation gives 0.00 μB/f.u.

a = 7.311 Å, b = 10.519 Å, c = 7.083 Å
α = 90.00°, β = 90.00°, γ = 90.00°
Space group Ibam (No. 72)
Unique sites:
Na: 0.000 0.000 0.250
Ta: 0.000 0.500 0.250
Ta: 0.239 0.263 0.000
O: 0.011 0.174 0.500
O: 0.116 0.431 0.000
O: 0.194 0.358 0.296

***

No. 10
An optimized crystal structure of Tb2Sm3HoEr6. Source: Alexandria via LeMat-Bulk, functional PBE.

The density of states at the Fermi level comes out at 30.72 states/eV/cell. The value obtained for the total energy is -0.338 Ry per atom. Its crystal system is monoclinic. For the size of the total moment, the calculation gives 0.00 μB/f.u.

a = 6.149 Å, b = 10.643 Å, c = 11.714 Å
α = 90.00°, β = 100.04°, γ = 90.00°
Space group C2/m (No. 12)
Unique sites:
Tb: 0.000 0.167 0.000
Sm: 0.000 0.000 0.500
Sm: 0.000 0.333 0.500
Ho: 0.000 0.500 0.000
Er: 0.249 0.333 0.248
Er: 0.250 0.000 0.248

***

No. 11
An optimized crystal structure of Li5TaPd6. Source: Alexandria via LeMat-Bulk, functional PBE.

The density of states at the Fermi level comes out at 4.20 states/eV/cell. The value obtained for the total energy is -0.355 Ry per atom. Its crystal system is monoclinic. For the size of the total moment, the calculation gives 0.00 μB/f.u.

a = 4.338 Å, b = 6.081 Å, c = 6.748 Å
α = 90.00°, β = 108.60°, γ = 90.00°
Space group P2/m (No. 10)
Unique sites:
Li: 0.000 0.000 0.000
Li: 0.330 0.500 0.661
Li: 0.333 0.000 0.668
Ta: 0.000 0.500 0.000
Pd: 0.167 0.248 0.332
Pd: 0.500 0.244 0.000

***

No. 12
An optimized crystal structure of LiTePb2. Source: Alexandria via LeMat-Bulk, functional PBE.

The density of states at the Fermi level comes out at 3.48 states/eV/cell. The value obtained for the total energy is -0.246 Ry per atom. Its crystal system is orthorhombic. For the size of the total moment, the calculation gives 0.00 μB/f.u.

a = 4.052 Å, b = 5.448 Å, c = 10.197 Å
α = 90.00°, β = 90.00°, γ = 90.00°
Space group Imm2 (No. 44)
Unique sites:
Li: 0.000 0.000 0.000
Te: 0.000 0.500 0.307
Pb: 0.000 0.000 0.537
Pb: 0.000 0.500 0.763